This record from Alexandria via LeMat-Bulk describes a relaxed AcScP crystal. The functional is GGA-PBE.

a = 4.3414 Å, b = 4.3414 Å, c = 5.0364 Å
α = 90.00°, β = 90.00°, γ = 90.00°
Element x y z (fractional)
Ac 0.0000 0.0000 0.0000
Sc 0.5000 0.5000 0.5000
P 0.5000 0.5000 0.0000

Values from the calculation:
Total magnetization ... 0.00 μB/f.u.
E_tot ... -6.081 eV per atom